VASP calculation (PBEsol) on a geometry-optimized Cs3NbZn structure.

Space group: Pm-3m, No. 221
Volume: 72.43 A^3/atom
Theoretical density: 2.6 Mg/m³
Total energy: -1.771 eV/atom

Cell lengths 7.128, 7.128, 7.128 Å; angles 90.00, 90.00, 90.00 degrees
Positions (direct):
Cs 0.000 0.000 0.500
Cs 0.000 0.500 0.000
Cs 0.500 0.000 0.000
Nb 0.000 0.000 0.000
Zn 0.500 0.500 0.500